Entry from the Alexandria database: a relaxed Ac6Ir2Pt3Se crystal (PBE-GGA).

The space group is C2/m (No. 12) and the conventional cell measures 19.0989, 4.3575 and 8.8948 Å, with angles of 90.00, 103.00 and 90.00 degrees. The asymmetric unit holds Ac at (0.0056, 0.0000, 0.2647), Ac at (0.1697, 0.5000, 0.5783), Ac at (0.1729, 0.5000, 0.0983), Ir at (0.1655, 0.0000, 0.3326), Pt at (0.0000, 0.5000, 0.5000), Pt at (0.1612, 0.0000, 0.8340) and Se at (0.0000, 0.5000, 0.0000).

The calculation puts the raw formation energy at -1084 meV/atom.


Entry from the Alexandria database: a relaxed Ac2Si4Ir3Pt crystal (PBE-GGA).

The space group is P-4m2 (No. 115) and the conventional cell measures 4.2992, 4.2992 and 10.1696 Å, with angles of 90.00, 90.00 and 90.00 degrees. The asymmetric unit holds Ac at (0.0000, 0.5000, 0.2414), Si at (0.0000, 0.0000, 0.0000), Si at (0.0000, 0.5000, 0.6312), Si at (0.5000, 0.5000, 0.0000), Ir at (0.0000, 0.5000, 0.8767), Ir at (0.5000, 0.5000, 0.5000) and Pt at (0.0000, 0.0000, 0.5000).

The calculation puts the raw formation energy at -932 meV/atom.


Entry from the Alexandria database: a relaxed Ac2Si4IrPt3 crystal (PBE-GGA).

The space group is P-4m2 (No. 115) and the conventional cell measures 4.3331, 4.3331 and 10.1741 Å, with angles of 90.00, 90.00 and 90.00 degrees. The asymmetric unit holds Ac at (0.0000, 0.5000, 0.2448), Si at (0.0000, 0.0000, 0.0000), Si at (0.0000, 0.5000, 0.6257), Si at (0.5000, 0.5000, 0.0000), Ir at (0.0000, 0.0000, 0.5000), Pt at (0.0000, 0.5000, 0.8798) and Pt at (0.5000, 0.5000, 0.5000).

The calculation puts the raw formation energy at -1019 meV/atom.


Q: Which formula does entry 3 have?
A: Ac2Si4IrPt3


Q: Among the records above, which one has the lowest raw formation energy?
A: Ac6Ir2Pt3Se


Q: The highest raw formation energy belongs to which entry?
A: Ac2Si4Ir3Pt